Li2FeP2S6 | PBE | relaxed

Unit cell a=5.855 b=5.855 c=6.596 alpha=90.00 beta=90.00 gamma=120.00
Sites, in units of the cell vectors:
Li  0.000  0.000  0.000
Li  0.000  0.000  0.500
Fe  0.667  0.333  0.000
P  0.333  0.667  0.165
P  0.333  0.667  0.835
S  0.363  0.024  0.230
S  0.363  0.339  0.770
S  0.661  0.024  0.770
S  0.661  0.637  0.230
S  0.976  0.339  0.230
S  0.976  0.637  0.770

Values from the calculation:
The mass density is 2.75 g/cm3. The calculation puts the uncorrected formation energy at -549 meV/atom. The total magnetization is 0.09 μB per formula unit. The calculation puts the final energy at -0.180 Ha/atom.